[1]
A geometry-optimized BaGa2IrPd structure. Source: OQMD, functional PBE-GGA.

The structure in POSCAR format:
```
BaGa2IrPd
1.0
4.5316 0.0000 0.0000
0.0000 4.5316 0.0000
0.0000 0.0000 10.3114
Ba Ga Ir Pd
2 4 2 2
Cartesian
1.1329 1.1329 2.5568
3.3987 3.3987 7.7546
1.1329 1.1329 9.0135
1.1329 3.3987 5.1557
3.3987 1.1329 5.1557
3.3987 3.3987 1.2978
1.1329 1.1329 6.4205
3.3987 3.3987 3.8908
1.1329 3.3987 0.0000
3.3987 1.1329 0.0000
```

V (Å³ per cell): 212
Crystal system: tetragonal
ρ (g cm⁻³): 9.0
M_tot (μB/f.u.): 0.01
VASP energy (Ry per atom): -0.3654


[2]
A geometry-optimized BaGa2IrPt structure. Source: OQMD, functional PBE-GGA.

The structure in POSCAR format:
```
BaGa2IrPt
1.0
4.4529 0.0000 0.0000
0.0000 4.4529 0.0000
0.0000 0.0000 10.6294
Ba Ga Ir Pt
2 4 2 2
Cartesian
1.1132 1.1132 2.5473
3.3397 3.3397 8.0821
1.1132 1.1132 9.4028
1.1132 3.3397 5.3147
3.3397 1.1132 5.3147
3.3397 3.3397 1.2266
1.1132 3.3397 0.0000
3.3397 1.1132 0.0000
1.1132 1.1132 6.6636
3.3397 3.3397 3.9657
```

V (Å³ per cell): 211
Crystal system: tetragonal
ρ (g cm⁻³): 10.5
M_tot (μB/f.u.): 0.00
VASP energy (Ry per atom): -0.3840


[3]
A geometry-optimized Ba2GaIrS6 structure. Source: OQMD, functional PBE-GGA.

The structure in POSCAR format:
```
Ba2GaIrS6
1.0
0.0000 4.8400 4.8400
4.8400 0.0000 4.8400
4.8400 4.8400 0.0000
Ba Ga Ir S
2 1 1 6
Cartesian
2.4200 2.4200 2.4200
7.2599 7.2599 7.2599
0.0000 0.0000 0.0000
4.8400 4.8400 4.8400
4.8400 4.8400 2.4499
4.8400 2.4499 4.8400
7.2301 4.8400 4.8400
2.4499 4.8400 4.8400
4.8400 7.2301 4.8400
4.8400 4.8400 7.2301
```

V (Å³ per cell): 227
Crystal system: cubic
ρ (g cm⁻³): 5.3
M_tot (μB/f.u.): 0.55
VASP energy (Ry per atom): -0.3568


[4]
A geometry-optimized Ba2Zn3GaIr2 structure. Source: OQMD, functional PBE-GGA.

The structure in POSCAR format:
```
Ba2Zn3GaIr2
1.0
5.8765 -2.1353 0.0000
5.8765 2.1353 0.0000
-0.0047 0.0000 7.4295
Ba Zn Ga Ir
2 3 1 2
Cartesian
0.0000 0.0000 0.0000
1.2732 0.0000 3.7341
4.3508 0.0000 2.3164
4.4534 0.0000 5.1061
8.6917 0.0000 1.4312
8.6017 0.0000 6.0262
3.1409 0.0000 7.3809
9.8334 0.0000 3.7590
```

V (Å³ per cell): 186
Crystal system: monoclinic
ρ (g cm⁻³): 8.2
M_tot (μB/f.u.): 0.00
VASP energy (Ry per atom): -0.2851